First-principles (GGA-PBEsol) data for crystalline TcHRh3 at its relaxed geometry, as listed in the Alexandria database.

The density of states at the Fermi level comes out at 6.309 states/eV/cell. As for the total energy: -7.781 eV per atom.

a b c (Å): 3.8364 3.8364 3.8364
angles (deg): 90.00 90.00 90.00
Closest atoms and distances in Å follow each position.
Element x y z (fractional)
H  0.0000  0.0000  0.0000  6 Rh 1.92
Rh  0.0000  0.5000  0.0000  2 H 1.92
Rh  0.0000  0.0000  0.5000  2 H 1.92
Rh  0.5000  0.0000  0.0000  2 H 1.92
Tc  0.5000  0.5000  0.5000  12 Rh 2.71

=====

First-principles (GGA-PBEsol) data for crystalline TeH3Rh at its relaxed geometry, as listed in the Alexandria database.

The density of states at the Fermi level comes out at 4.401 states/eV/cell. As for the total energy: -3.179 eV per atom.

a b c (Å): 3.8126 3.8126 3.8126
angles (deg): 90.00 90.00 90.00
Closest atoms and distances in Å follow each position.
Element x y z (fractional)
Rh  0.5000  0.5000  0.5000  12 H 2.70
H  0.0000  0.5000  0.0000  2 Te 1.91
H  0.5000  0.0000  0.0000  2 Te 1.91
H  0.0000  0.0000  0.5000  2 Te 1.91
Te  0.0000  0.0000  0.0000  6 H 1.91